w:
VASP calculation (PBE-GGA) on crystalline Tb7DyY3 at its relaxed geometry.

The size of the total moment is 0.00 μB per cell.

The space group is P2/m (No. 10) and the conventional cell measures 7.023, 5.550 and 9.900 Å, with angles of 90.00, 110.51 and 90.00 degrees. The inequivalent atoms are Tb at (0.000, 0.000, 0.000), Tb at (0.147, 0.500, 0.293), Tb at (0.321, 0.500, 0.641), Tb at (0.417, 0.000, 0.830), Dy at (0.500, 0.000, 0.500), Y at (0.000, 0.000, 0.500) and Y at (0.279, 0.500, 0.999).


x:
VASP calculation (PBE-GGA) on crystalline Tb7DyY3 at its relaxed geometry.

The size of the total moment is 0.00 μB per cell.

The space group is P3m1 (No. 156) and the conventional cell measures 7.0672, 7.0672 and 8.6283 Å, with angles of 90.00, 90.00 and 120.00 degrees. The inequivalent atoms are Tb at (0.0000, 0.0000, 0.0000), Tb at (0.1654, 0.3308, 0.3268), Tb at (0.5013, 0.0026, 0.9944), Dy at (0.6667, 0.3333, 0.3212) and Y at (0.3335, 0.1667, 0.6603).


What should be chosen as the least stable of them? Choose x.


w:
VASP calculation (PBE-GGA) on crystalline Tb5DyY2 at its relaxed geometry.

The size of the total moment is 0.00 μB per cell.

The space group is P-1 (No. 2) and the conventional cell measures 6.637, 8.857 and 9.488 Å, with angles of 90.81, 96.38 and 109.86 degrees. The inequivalent atoms are Tb at (0.057, 0.267, 0.376), Tb at (0.216, 0.017, 0.109), Tb at (0.262, 0.984, 0.443), Tb at (0.274, 0.738, 0.909), Tb at (0.367, 0.187, 0.764), Dy at (0.055, 0.632, 0.256), Y at (0.287, 0.405, 0.079) and Y at (0.389, 0.621, 0.585).


x:
VASP calculation (PBE-GGA) on crystalline Tb5DyY2 at its relaxed geometry.

The size of the total moment is 0.00 μB per cell.

The space group is Pbam (No. 55) and the conventional cell measures 7.128, 14.257 and 5.029 Å, with angles of 90.00, 90.00 and 90.00 degrees. The inequivalent atoms are Tb at (0.000, 0.000, 0.000), Tb at (0.000, 0.250, 0.000), Tb at (0.250, 0.125, 0.500), Dy at (0.000, 0.500, 0.000) and Y at (0.250, 0.375, 0.500).


What should be chosen as the least stable of them? Choose w.


w:
VASP calculation (PBE-GGA) on crystalline Tb4Dy2Y5 at its relaxed geometry.

The size of the total moment is 0.00 μB per cell.

The space group is P-1 (No. 2) and the conventional cell measures 3.549, 8.589 and 12.047 Å, with angles of 90.83, 98.43 and 101.90 degrees. The inequivalent atoms are Tb at (0.110, 0.063, 0.156), Tb at (0.210, 0.852, 0.568), Dy at (0.448, 0.213, 0.685), Y at (0.161, 0.558, 0.766), Y at (0.367, 0.690, 0.042) and Y at (0.500, 0.500, 0.500).


x:
VASP calculation (PBE-GGA) on crystalline Tb4Dy2Y5 at its relaxed geometry.

The size of the total moment is 0.00 μB per cell.

The space group is C2/m (No. 12) and the conventional cell measures 23.814, 3.480 and 8.708 Å, with angles of 90.00, 96.82 and 90.00 degrees. The inequivalent atoms are Tb at (0.046, 0.000, 0.360), Tb at (0.176, 0.500, 0.471), Dy at (0.090, 0.000, 0.738), Y at (0.000, 0.500, 0.000), Y at (0.141, 0.000, 0.118) and Y at (0.231, 0.000, 0.823).


What should be chosen as the least stable of them? Choose x.